No. 1
{
  "formula": "La2CoRh",
  "functional": "PBE",
  "state": "optimized geometry",
  "lattice_angstrom": [[7.1071, 0.0000, 0.0000], [0.0000, 7.1071, 0.0000], [0.0000, 0.0000, 7.1071]],
  "species": ["La", "La", "La", "La", "La", "La", "La", "La", "Co", "Co", "Co", "Co", "Rh", "Rh", "Rh", "Rh"],
  "frac_coords": [[0.2500, 0.2500, 0.2500], [0.2500, 0.2500, 0.7500], [0.2500, 0.7500, 0.2500], [0.2500, 0.7500, 0.7500], [0.7500, 0.2500, 0.2500], [0.7500, 0.2500, 0.7500], [0.7500, 0.7500, 0.2500], [0.7500, 0.7500, 0.7500], [0.0000, 0.0000, 0.0000], [0.0000, 0.5000, 0.5000], [0.5000, 0.0000, 0.5000], [0.5000, 0.5000, 0.0000], [0.0000, 0.0000, 0.5000], [0.0000, 0.5000, 0.0000], [0.5000, 0.0000, 0.0000], [0.5000, 0.5000, 0.5000]]
}

---

No. 2
{
  "formula": "LiZn3Sb",
  "functional": "PBE",
  "state": "optimized geometry",
  "lattice_angstrom": [[4.6140, 0.0000, 0.0000], [0.0000, 4.6140, 0.0000], [0.0000, 0.0000, 4.6140]],
  "species": ["Li", "Zn", "Zn", "Zn", "Sb"],
  "frac_coords": [[0.0000, 0.0000, 0.0000], [0.0000, 0.0000, 0.5000], [0.0000, 0.5000, 0.0000], [0.5000, 0.0000, 0.0000], [0.5000, 0.5000, 0.5000]],
  "raw_formation_energy_ev_per_fu": 1.916
}

---

No. 3
{
  "formula": "ReTe2RhN",
  "functional": "PBE",
  "state": "optimized geometry",
  "lattice_angstrom": [[5.3508, 0.0000, 0.0000], [0.0000, 5.3508, 0.0000], [0.0000, 0.0000, 3.5925]],
  "species": ["Re", "Te", "Te", "Rh", "N"],
  "frac_coords": [[0.0000, 0.0000, 0.0000], [0.0000, 0.5000, 0.5000], [0.5000, 0.0000, 0.5000], [0.5000, 0.5000, 0.5000], [0.5000, 0.5000, 0.0000]],
  "raw_formation_energy_ev_per_fu": 5.488
}

---

No. 4
{
  "formula": "LaUC",
  "functional": "PBE",
  "state": "optimized geometry",
  "lattice_angstrom": [[3.1298, 0.0000, 0.0000], [0.0000, 3.1298, 0.0000], [0.0000, 0.0000, 12.3099]],
  "species": ["La", "La", "U", "U", "C", "C"],
  "frac_coords": [[0.0000, 0.0000, 0.0000], [0.5000, 0.5000, 0.5000], [0.0000, 0.0000, 0.7577], [0.5000, 0.5000, 0.2577], [0.0000, 0.0000, 0.3346], [0.5000, 0.5000, 0.8346]]
}

---

No. 5
{
  "formula": "TbPm2HgC",
  "functional": "PBE",
  "state": "optimized geometry",
  "lattice_angstrom": [[5.0865, 0.0000, 0.0000], [0.0000, 5.0865, 0.0000], [0.0000, 0.0000, 4.8873]],
  "species": ["Tb", "Pm", "Pm", "Hg", "C"],
  "frac_coords": [[0.0000, 0.0000, 0.0000], [0.0000, 0.5000, 0.5000], [0.5000, 0.0000, 0.5000], [0.5000, 0.5000, 0.0000], [0.0000, 0.0000, 0.5000]]
}

---

No. 6
{
  "formula": "AgC3Br",
  "functional": "PBE",
  "state": "optimized geometry",
  "lattice_angstrom": [[4.2795, 0.0000, 0.0000], [0.0000, 4.2795, 0.0000], [0.0000, 0.0000, 4.2795]],
  "species": ["Ag", "C", "C", "C", "Br"],
  "frac_coords": [[0.0000, 0.0000, 0.0000], [0.0000, 0.0000, 0.5000], [0.0000, 0.5000, 0.0000], [0.5000, 0.0000, 0.0000], [0.5000, 0.5000, 0.5000]],
  "raw_formation_energy_ev_per_fu": 16.746
}

---

Number 1: calculated density 8.13 g/cm3, E -6.38 eV/atom, calculated volume 22.44 Å³ per atom. Number 2: calculated density 5.49 g/cm3, E -1.59 eV/atom, calculated volume 19.65 Å³ per atom. Number 3: calculated density 9.01 g/cm3, E -5.78 eV/atom, calculated volume 20.57 Å³ per atom. Number 4: calculated density 10.71 g/cm3, E -8.14 eV/atom, calculated volume 20.10 Å³ per atom. Number 5: calculated density 8.69 g/cm3, E -5.01 eV/atom, calculated volume 25.29 Å³ per atom. Number 6: calculated density 4.74 g/cm3, E -3.09 eV/atom, calculated volume 15.68 Å³ per atom.